TaGaFeNi | PBE | optimized geometry

Values from the calculation:
Fermi-level density of states = 2.72 states/eV/f.u.
total DFT energy (no corrections) = -120.62 eV/cell

abc: 5.983 5.983 5.983
angles: 90.00 90.00 90.00
Space group F-43m (No. 216)
Inequivalent atoms, fractional coordinates:
Ta 0.000 0.000 0.000
Ga 0.000 0.000 0.500
Fe 0.250 0.250 0.750
Ni 0.250 0.250 0.250